1.
! Tm6Pd5Rh PBE-GGA optimized geometry; values from VASP
! Formation enthalpy at 0 K: -11.4 eV per formula unit
! SG: Cmmm
&SYSTEM
  ibrav = 0, nat = 12, ntyp = 3
/
ATOMIC_SPECIES
Tm 168.93 Tm.upf
Pd 106.42 Pd.upf
Rh 102.91 Rh.upf
CELL_PARAMETERS angstrom
2.457 -7.349 0.000
2.457 7.349 0.000
0.000 0.000 6.800
ATOMIC_POSITIONS angstrom
Tm 0.000 0.000 1.674
Tm 0.000 0.000 5.125
Tm 2.457 2.414 1.686
Tm 2.457 2.414 5.114
Tm 2.457 -2.414 1.686
Tm 2.457 -2.414 5.114
Pd 2.457 4.890 0.000
Pd 2.457 4.889 3.400
Pd 2.457 0.000 3.400
Pd 2.457 -4.890 0.000
Pd 2.457 -4.889 3.400
Rh 2.457 0.000 0.000

=====

2.
! YCu PBE-GGA optimized geometry; values from VASP
! Formation enthalpy at 0 K: 0.2 eV per formula unit
! SG: I4/m
&SYSTEM
  ibrav = 0, nat = 8, ntyp = 2
/
ATOMIC_SPECIES
Y 88.91 Y.upf
Cu 63.55 Cu.upf
CELL_PARAMETERS angstrom
-5.070 5.070 1.866
5.070 -5.070 1.866
5.070 5.070 -1.866
ATOMIC_POSITIONS angstrom
Y 8.023 1.180 0.000
Y 1.180 2.117 0.000
Y 3.889 2.953 1.866
Y -2.953 3.889 1.866
Cu 4.114 0.866 0.000
Cu 4.204 -0.956 1.866
Cu 0.866 6.026 0.000
Cu 0.956 4.204 1.866

=====

3.
! BeCrNi2 PBE-GGA optimized geometry; values from VASP
! Formation enthalpy at 0 K: -0.1 eV per formula unit
! SG: Pmm2
&SYSTEM
  ibrav = 0, nat = 4, ntyp = 3
/
ATOMIC_SPECIES
Be 9.01 Be.upf
Cr 52.00 Cr.upf
Ni 58.69 Ni.upf
CELL_PARAMETERS angstrom
2.453 0.000 0.000
0.000 3.405 0.000
0.000 0.000 4.970
ATOMIC_POSITIONS angstrom
Be 0.000 0.000 0.000
Cr 1.227 1.703 1.416
Ni 0.000 0.000 2.586
Ni 1.227 1.703 4.018

=====

4.
! AgPt2 PBE-GGA optimized geometry; values from VASP
! Formation enthalpy at 0 K: 0.2 eV per formula unit
! SG: P-1
! Energy above the lowest structure with this stoichiometry: 57.8 meV per atom
&SYSTEM
  ibrav = 0, nat = 12, ntyp = 2
/
ATOMIC_SPECIES
Ag 107.87 Ag.upf
Pt 195.08 Pt.upf
CELL_PARAMETERS angstrom
4.965 0.000 0.000
-1.759 5.437 0.000
-0.875 -1.735 7.214
ATOMIC_POSITIONS angstrom
Ag -0.423 -0.155 2.403
Ag 1.145 0.381 6.016
Ag 1.186 3.321 1.197
Ag 2.755 3.857 4.811
Pt -1.290 2.534 2.409
Pt -1.262 4.088 0.008
Pt 2.039 0.605 1.221
Pt 2.045 -0.867 3.607
Pt 1.166 1.851 3.607
Pt 0.293 3.097 5.993
Pt 3.593 -0.386 7.206
Pt 3.622 1.168 4.804

=====

5.
! KTi2Se2 PBE-GGA optimized geometry; values from VASP
! SG: I4/mmm
! Final energy: -5.72 eV/atom
&SYSTEM
  ibrav = 0, nat = 5, ntyp = 3
/
ATOMIC_SPECIES
K 39.10 K.upf
Ti 47.87 Ti.upf
Se 78.96 Se.upf
CELL_PARAMETERS angstrom
-1.996 1.996 7.226
1.996 -1.996 7.226
1.996 1.996 -7.226
ATOMIC_POSITIONS angstrom
K 0.000 0.000 0.000
Ti 1.996 0.000 3.613
Ti 0.000 1.996 3.613
Se 0.000 0.000 5.274
Se 0.000 0.000 9.178

=====

6.
! Nd5GeBi4 PBE-GGA optimized geometry; values from VASP
! Formation enthalpy at 0 K: -8.8 eV per formula unit
! SG: I4/m
! Energy above the lowest structure with this stoichiometry: 0.0 meV per atom
&SYSTEM
  ibrav = 0, nat = 10, ntyp = 3
/
ATOMIC_SPECIES
Nd 144.24 Nd.upf
Ge 72.64 Ge.upf
Bi 208.98 Bi.upf
CELL_PARAMETERS angstrom
-5.081 5.081 3.220
5.081 -5.081 3.220
5.081 5.081 -3.220
ATOMIC_POSITIONS angstrom
Nd 0.000 0.000 0.000
Nd 6.074 2.174 0.000
Nd 2.174 4.088 0.000
Nd 2.907 0.993 3.220
Nd -0.993 2.907 3.220
Ge 0.000 0.000 3.220
Bi 3.079 0.960 0.000
Bi 4.121 -2.002 3.220
Bi 0.960 7.083 0.000
Bi 2.002 4.121 3.220

=====

7.
! TmPu2NpS4 PBE-GGA optimized geometry; values from VASP
! SG: P2/m
! Final energy: -9.53 eV/atom
&SYSTEM
  ibrav = 0, nat = 8, ntyp = 4
/
ATOMIC_SPECIES
Tm 168.93 Tm.upf
Pu 244.00 Pu.upf
Np 237.00 Np.upf
S 32.06 S.upf
CELL_PARAMETERS angstrom
6.782 0.000 0.000
0.000 3.905 0.000
-2.272 0.000 6.404
ATOMIC_POSITIONS angstrom
Tm 0.000 0.000 0.000
Pu 2.255 0.000 3.202
Pu 3.391 1.952 0.000
Np -1.136 1.952 3.202
S 1.095 1.952 1.564
S -0.051 0.000 4.818
S 4.562 0.000 1.586
S 3.415 1.952 4.840

=====

Record-wise N(E_F) values, in states/eV/cell: 4.7; 6.7; 5.3; 15.0; 5.1; 3.4; 24.1